(1)
Material: Na2PdBr6
Method: DFT, PBE-GGA
State: relaxed

## Properties
The calculated density comes out at 4.1 g cm⁻³. The space group is P2_1/c (14). The uncorrected formation energy is -7.2 eV/f.u. The total magnetization is 0.000 μB/atom.

POSCAR file:
```
Na2PdBr6
1.0
7.0467 0.0000 0.0000
0.0000 7.3381 0.0000
-6.9917 0.0000 10.0025
Na Pd Br
4 2 12
direct
0.2085 0.1085 0.2320
0.2085 0.3915 0.7320
0.7915 0.6085 0.2680
0.7915 0.8915 0.7680
0.5000 0.0000 0.0000
0.5000 0.5000 0.5000
0.1488 0.1841 0.9355
0.1488 0.3159 0.4355
0.2800 0.7095 0.9597
0.2800 0.7905 0.4597
0.3692 0.0002 0.7598
0.3692 0.4998 0.2598
0.6308 0.9998 0.2402
0.6308 0.5002 0.7402
0.7200 0.2095 0.5403
0.7200 0.2905 0.0403
0.8512 0.6841 0.5645
0.8512 0.8159 0.0645
```


(2)
Material: NaPdBr
Method: DFT, PBE-GGA
State: relaxed

## Properties
The calculated density comes out at 4.4 g cm⁻³. The space group is Amm2 (38). The uncorrected formation energy is -1.3 eV/f.u. The total magnetization is 0.000 μB/atom. The relative energy among the computed polymorphs comes out at 0.565 eV per formula unit.

POSCAR file:
```
NaPdBr
1.0
9.5804 0.0000 0.0000
0.0000 2.8456 2.8882
0.0000 -2.8456 2.8882
Na Pd Br
2 2 2
direct
0.1940 0.0000 0.0000
0.8060 0.0000 0.0000
0.0000 0.4528 0.4528
0.5000 0.3697 0.3697
0.2563 0.5062 0.5062
0.7437 0.5062 0.5062
```


(3)
Material: NaPdBr
Method: DFT, PBE-GGA
State: relaxed

## Properties
The calculated density comes out at 5.1 g cm⁻³. The space group is P-6m2 (187). The uncorrected formation energy is -1.4 eV/f.u. The total magnetization is 0.000 μB/atom. The relative energy among the computed polymorphs comes out at 0.435 eV per formula unit.

POSCAR file:
```
NaPdBr
1.0
4.4813 0.0000 0.0000
-2.2407 3.8809 0.0000
0.0000 0.0000 3.9106
Na Pd Br
1 1 1
direct
0.0000 0.0000 0.0000
0.6667 0.3333 0.5000
0.3333 0.6667 0.5000
```


(4)
Material: NaPdBr2
Method: DFT, PBE-GGA
State: relaxed

## Properties
The calculated density comes out at 3.8 g cm⁻³. The space group is I-42d (122). The uncorrected formation energy is -2.5 eV/f.u. The total magnetization is 0.250 μB/atom. The relative energy among the computed polymorphs comes out at 0.000 eV per formula unit.

POSCAR file:
```
NaPdBr2
1.0
-2.9964 2.9964 6.9622
2.9964 -2.9964 6.9622
2.9964 2.9964 -6.9622
Na Pd Br
2 2 4
direct
0.0000 0.0000 0.0000
0.7500 0.2500 0.5000
0.2500 0.7500 0.5000
0.5000 0.5000 0.0000
0.1659 0.6250 0.0409
0.3750 0.4159 0.5409
0.5841 0.1250 0.9591
0.8750 0.8341 0.4591
```


(5)
Material: NaPdBr
Method: DFT, PBE-GGA
State: relaxed

## Properties
The calculated density comes out at 5.2 g cm⁻³. The space group is Pm (6). The uncorrected formation energy is -1.8 eV/f.u. The total magnetization is 0.000 μB/atom. The relative energy among the computed polymorphs comes out at 0.068 eV per formula unit.

POSCAR file:
```
NaPdBr
1.0
3.5651 0.0000 0.0000
0.0000 3.5589 0.0000
-1.7805 0.0000 10.5289
Na Pd Br
2 2 2
direct
0.0000 0.0000 0.0000
0.1695 0.0000 0.3482
0.3152 0.0000 0.6379
0.7726 0.5000 0.5518
0.4197 0.5000 0.8377
0.5884 0.5000 0.1848
```


(6)
Material: NaPd2Br
Method: DFT, PBE-GGA
State: relaxed

## Properties
The calculated density comes out at 6.6 g cm⁻³. The space group is I-42d (122). The uncorrected formation energy is -0.4 eV/f.u. The total magnetization is 0.000 μB/atom. The relative energy among the computed polymorphs comes out at 0.000 eV per formula unit.

POSCAR file:
```
NaPd2Br
1.0
-1.9612 1.9612 10.3150
1.9612 -1.9612 10.3150
1.9612 1.9612 -10.3150
Na Pd Br
2 4 2
direct
0.0000 0.0000 0.0000
0.7500 0.2500 0.5000
0.1314 0.6250 0.0064
0.3750 0.3814 0.5064
0.6186 0.1250 0.9936
0.8750 0.8686 0.4936
0.2500 0.7500 0.5000
0.5000 0.5000 0.0000
```


no.,total DFT energy (no corrections) (eV per atom)
1,-2.79
2,-3.15
3,-3.19
4,-3.09
5,-3.32
6,-3.45